Ca2P2O7 after structural relaxation, computed with PBE.

a = 6.7701 Å, b = 6.7701 Å, c = 24.4899 Å
α = 90.00°, β = 90.00°, γ = 90.00°
Closest atoms and distances in Å follow each position.
Space group P4_1 (No. 76)
Unique sites:
Ca1 0.0501 0.6600 0.0000 (multiplicity 4)  5 O 2.34-2.55
Ca2 0.1307 0.6098 0.3569 (multiplicity 4)  6 O 2.32-2.56
Ca3 0.2396 0.2976 0.1043 (multiplicity 4)  6 O 2.39-2.46
Ca4 0.2696 0.3601 0.7416 (multiplicity 4)  6 O 2.38-2.54
P1 0.1274 0.1899 0.9684 (multiplicity 4)  4 O 1.50-1.64
P2 0.1492 0.7922 0.1200 (multiplicity 4)  4 O 1.51-1.63
P3 0.2167 0.5558 0.2230 (multiplicity 4)  4 O 1.53-1.64
P4 0.2430 0.6267 0.6171 (multiplicity 4)  4 O 1.53-1.63
O1 0.0036 0.9619 0.7409 (multiplicity 4)  1 P 1.50
O2 0.0320 0.2782 0.3882 (multiplicity 4)  1 P 1.54
O3 0.0325 0.6604 0.4500 (multiplicity 4)  1 P 1.55
O4 0.0459 0.1522 0.5940 (multiplicity 4)  1 P 1.51
O5 0.0556 0.5385 0.2665 (multiplicity 4)  1 P 1.53
O6 0.0841 0.5979 0.5734 (multiplicity 4)  1 P 1.53
O7 0.0914 0.6665 0.1744 (multiplicity 4)  2 P 1.63-1.64
O8 0.1230 0.7562 0.6626 (multiplicity 4)  2 P 1.63-1.64
O9 0.2438 0.4113 0.8440 (multiplicity 4)  1 P 1.55
O10 0.2734 0.6518 0.0838 (multiplicity 4)  1 P 1.55
O11 0.2783 0.2962 0.0053 (multiplicity 4)  1 P 1.54
O12 0.2885 0.3598 0.1993 (multiplicity 4)  1 P 1.53
O13 0.3072 0.3835 0.4915 (multiplicity 4)  1 P 1.53
O14 0.3199 0.4427 0.6461 (multiplicity 4)  1 P 1.53

Density ... 3.01 g/cm³
Uncorrected formation energy ... -2.77 eV per atom